This record from Alexandria describes a relaxed LaFeOs2 crystal. The functional is PBE.

Cell: 4.1887 2.9157 6.0894 Å, 75.90 90.00 90.00°
Site moments in Bohr magnetons follow the coordinates.
Fractional positions:
Os 0.5000 0.4523 0.2298  0.10
Os 0.0000 0.0204 0.0883  -0.13
La 0.5000 0.6927 0.7300  -0.10
Fe 0.0000 0.3346 0.4519  2.21

Output
Electronic total energy = -34.25 eV per cell
Energy relative to the lowest polymorph listed for this composition = 327 meV per atom
Energy of formation from the pure elements = 0.400 eV/atom